VASP calculation (PBE) on a relaxed Nb2Si4Ni crystal.

The structure belongs to space group I4/mmm (No. 139); the cell edges are 4.3896, 4.3896 and 12.5520 Å and the angles 90.00°, 90.00° and 90.00°. The inequivalent atoms are Nb at (0.0000, 0.0000, 0.1187), Si at (0.0000, 0.0000, 0.3221), Si at (0.0000, 0.5000, 0.0000) and Ni at (0.0000, 0.0000, 0.5000).

Its formation energy (no corrections) is 0.34 eV/atom. The density is 4.90 g cm⁻³. For the total magnetization, the calculation gives 0.00 μB/cell.

VASP calculation (PBE) on a relaxed MgMo2Os crystal.

The structure belongs to space group R3m (No. 160, hexagonal axes); the cell edges are 2.8078, 2.8078 and 28.1923 Å and the angles 90.00°, 90.00° and 120.00°. The inequivalent atoms are Mg at (0.0000, 0.0000, 0.0000), Mo at (0.0000, 0.0000, 0.2448), Mo at (0.0000, 0.0000, 0.4926) and Os at (0.0000, 0.0000, 0.7503).

The density is 10.52 g cm⁻³. As for the formation energy from the elements: 0.250 eV/atom. For the total magnetization, the calculation gives 0.00 μB/cell.

VASP calculation (PBE) on a relaxed MnBePd3 crystal.

The structure belongs to space group Pm-3m (No. 221); the cell edges are 4.1720, 4.1720 and 4.1720 Å and the angles 90.00°, 90.00° and 90.00°. The inequivalent atoms are Mn at (0.0000, 0.0000, 0.0000), Be at (0.5000, 0.5000, 0.5000) and Pd at (0.0000, 0.5000, 0.5000).

The density is 8.76 g cm⁻³. As for the formation energy from the elements: 0.395 eV/atom. For the total magnetization, the calculation gives 0.28 μB/cell.

VASP calculation (PBE) on a relaxed Er6Pb3CS2 crystal.

The structure belongs to space group C2/m (No. 12); the cell edges are 6.5459, 11.3669 and 8.0204 Å and the angles 90.00°, 105.85° and 90.00°. The inequivalent atoms are Er at (0.2152, 0.1538, 0.1837), Er at (0.2427, 0.0000, 0.8105), Pb at (0.0000, 0.1821, 0.5000), Pb at (0.0000, 0.5000, 0.5000), C at (0.0000, 0.0000, 0.0000) and S at (0.0000, 0.3348, 0.0000).

Its formation energy (no corrections) is -1.00 eV/atom. The density is 9.84 g cm⁻³. For the total magnetization, the calculation gives 0.00 μB/cell.